Entry 1:
A plane-wave DFT calculation with PBE-GGA was carried out for a relaxed Tl4F crystal.

Unit cell a=5.309 b=5.309 c=5.309 alpha=90.00 beta=90.00 gamma=90.00
Atoms (fractional coordinates):
Tl1 0.000 0.000 0.000
Tl2 0.000 0.500 0.500
Tl3 0.500 0.000 0.500
Tl4 0.500 0.500 0.000
F1 0.500 0.500 0.500

Properties
ΔE_f (raw) in eV per atom: -0.5442
Symmetry: Pm-3m, No. 221
Size of the total moment in μB per cell: 0.00

Entry 2:
A plane-wave DFT calculation with PBE-GGA was carried out for a relaxed NbVTcOs crystal.

Unit cell a=6.234 b=6.234 c=6.234 alpha=90.00 beta=90.00 gamma=90.00
Atoms (fractional coordinates):
Nb1 0.000 0.000 0.000
Nb2 0.000 0.500 0.500
Nb3 0.500 0.000 0.500
Nb4 0.500 0.500 0.000
V1 0.000 0.000 0.500
V2 0.000 0.500 0.000
V3 0.500 0.000 0.000
V4 0.500 0.500 0.500
Tc1 0.250 0.250 0.750
Tc2 0.250 0.750 0.250
Tc3 0.750 0.250 0.250
Tc4 0.750 0.750 0.750
Os1 0.250 0.250 0.250
Os2 0.250 0.750 0.750
Os3 0.750 0.250 0.750
Os4 0.750 0.750 0.250

Properties
Symmetry: F-43m, No. 216
ΔH_f (0 K) in eV per atom: -0.254
Size of the total moment in μB per cell: 0.03

Entry 3:
A plane-wave DFT calculation with PBE-GGA was carried out for a relaxed KPaAuI6 crystal.

Unit cell a=7.800 b=7.800 c=15.884 alpha=90.00 beta=90.00 gamma=120.00
Atoms (fractional coordinates):
K1 0.000 0.000 0.000
K2 0.000 0.000 0.500
Pa1 0.333 0.667 0.250
Pa2 0.667 0.333 0.750
Au1 0.333 0.667 0.750
Au2 0.667 0.333 0.250
I1 0.002 0.362 0.139
I2 0.002 0.640 0.361
I3 0.360 0.362 0.361
I4 0.360 0.998 0.139
I5 0.362 0.002 0.639
I6 0.362 0.360 0.861
I7 0.638 0.640 0.139
I8 0.638 0.998 0.361
I9 0.640 0.002 0.861
I10 0.640 0.638 0.639
I11 0.998 0.360 0.639
I12 0.998 0.638 0.861

Properties
ΔE_f (raw) in eV per atom: -0.7991
Symmetry: P-31c, No. 163
Size of the total moment in μB per cell: 2.03